1.
Compound: DyGa6Cu6
Source: the Open Quantum Materials Database
Functional: PBE
Structure: relaxed

The value obtained for the total energy is -3.76 eV/atom. Its magnetization is 0.000 Bohr magnetons per cell.

Cell and atoms, written as CIF:
```
data_DyGa6Cu6
_symmetry_space_group_name_H-M 'I m m m'
_symmetry_Int_Tables_number 71
_symmetry_space_group_name_Hall '-I 2 2'
_cell_length_a 5.150
_cell_length_b 8.524
_cell_length_c 8.700
_cell_angle_alpha 90.00
_cell_angle_beta 90.00
_cell_angle_gamma 90.00
loop_
_atom_site_label
_atom_site_type_symbol
_atom_site_fract_x
_atom_site_fract_y
_atom_site_fract_z
_atom_site_occupancy
Dy1 Dy 0.000 0.000 0.000 1
Ga1 Ga 0.000 0.000 0.348 1
Ga2 Ga 0.000 0.347 0.000 1
Ga3 Ga 0.000 0.500 0.306 1
Cu1 Cu 0.000 0.268 0.500 1
Cu2 Cu 0.250 0.250 0.250 1
```



2.
Compound: Dy3Ga4Cu2
Source: the Open Quantum Materials Database
Functional: PBE
Structure: relaxed

The value obtained for the total energy is -4.28 eV/atom. Its magnetization is 0.022 Bohr magnetons per cell.

Cell and atoms, written as CIF:
```
data_Dy3Ga4Cu2
_symmetry_space_group_name_H-M 'C 1 2/m 1'
_symmetry_Int_Tables_number 12
_symmetry_space_group_name_Hall '-C 2y'
_cell_length_a 10.429
_cell_length_b 4.370
_cell_length_c 8.347
_cell_angle_alpha 90.00
_cell_angle_beta 111.70
_cell_angle_gamma 90.00
loop_
_atom_site_label
_atom_site_type_symbol
_atom_site_fract_x
_atom_site_fract_y
_atom_site_fract_z
_atom_site_occupancy
Dy1 Dy 0.000 0.000 0.000 1
Dy2 Dy 0.172 0.500 0.654 1
Ga1 Ga 0.036 0.000 0.366 1
Ga2 Ga 0.232 0.500 0.076 1
Cu1 Cu 0.098 0.500 0.269 1
```



3.
Compound: GdDyGa2Cu4
Source: the Open Quantum Materials Database
Functional: PBE
Structure: relaxed

The value obtained for the total energy is -4.14 eV/atom. Its magnetization is 0.006 Bohr magnetons per cell.

Cell and atoms, written as CIF:
```
data_GdDyGa2Cu4
_symmetry_space_group_name_H-M 'P -6 m 2'
_symmetry_Int_Tables_number 187
_symmetry_space_group_name_Hall 'P -6 2'
_cell_length_a 4.2814
_cell_length_b 4.2814
_cell_length_c 8.6881
_cell_angle_alpha 90.00
_cell_angle_beta 90.00
_cell_angle_gamma 120.00
loop_
_atom_site_label
_atom_site_type_symbol
_atom_site_fract_x
_atom_site_fract_y
_atom_site_fract_z
_atom_site_occupancy
Gd1 Gd 0.0000 0.0000 0.0000 1
Dy1 Dy 0.3333 0.6667 0.5000 1
Ga1 Ga 0.6667 0.3333 0.2519 1
Cu1 Cu 0.0000 0.0000 0.3319 1
Cu2 Cu 0.3333 0.6667 0.1743 1
```



4.
Compound: GdDy2Ga3Cu2Ni
Source: the Open Quantum Materials Database
Functional: PBE
Structure: relaxed

The value obtained for the total energy is -4.53 eV/atom. Its magnetization is 0.011 Bohr magnetons per cell.

Cell and atoms, written as CIF:
```
data_GdDy2Ga3Cu2Ni
_symmetry_space_group_name_H-M 'A m m 2'
_symmetry_Int_Tables_number 38
_symmetry_space_group_name_Hall 'A 2 -2'
_cell_length_a 4.001
_cell_length_b 12.033
_cell_length_c 6.966
_cell_angle_alpha 90.00
_cell_angle_beta 90.00
_cell_angle_gamma 90.00
loop_
_atom_site_label
_atom_site_type_symbol
_atom_site_fract_x
_atom_site_fract_y
_atom_site_fract_z
_atom_site_occupancy
Gd1 Gd 0.000 0.000 0.000 1
Dy1 Dy 0.000 0.205 0.615 1
Ga1 Ga 0.500 0.000 0.646 1
Ga2 Ga 0.500 0.118 0.293 1
Cu1 Cu 0.500 0.168 0.910 1
Ni1 Ni 0.000 0.000 0.413 1
```



5.
Compound: GdDy2Ga3CuNi2
Source: the Open Quantum Materials Database
Functional: PBE
Structure: relaxed

The value obtained for the total energy is -4.79 eV/atom. Its magnetization is 0.006 Bohr magnetons per cell.

Cell and atoms, written as CIF:
```
data_GdDy2Ga3CuNi2
_symmetry_space_group_name_H-M 'A m m 2'
_symmetry_Int_Tables_number 38
_symmetry_space_group_name_Hall 'A 2 -2'
_cell_length_a 3.735
_cell_length_b 12.357
_cell_length_c 7.134
_cell_angle_alpha 90.00
_cell_angle_beta 90.00
_cell_angle_gamma 90.00
loop_
_atom_site_label
_atom_site_type_symbol
_atom_site_fract_x
_atom_site_fract_y
_atom_site_fract_z
_atom_site_occupancy
Gd1 Gd 0.000 0.000 0.000 1
Dy1 Dy 0.000 0.206 0.619 1
Ga1 Ga 0.500 0.000 0.667 1
Ga2 Ga 0.500 0.128 0.286 1
Cu1 Cu 0.000 0.000 0.414 1
Ni1 Ni 0.500 0.168 0.913 1
```



6.
Compound: Gd2DyGa3Cu2Ni
Source: the Open Quantum Materials Database
Functional: PBE
Structure: relaxed

The value obtained for the total energy is -4.53 eV/atom. Its magnetization is 0.012 Bohr magnetons per cell.

Cell and atoms, written as CIF:
```
data_Gd2DyGa3Cu2Ni
_symmetry_space_group_name_H-M 'A m m 2'
_symmetry_Int_Tables_number 38
_symmetry_space_group_name_Hall 'A 2 -2'
_cell_length_a 4.004
_cell_length_b 12.117
_cell_length_c 6.978
_cell_angle_alpha 90.00
_cell_angle_beta 90.00
_cell_angle_gamma 90.00
loop_
_atom_site_label
_atom_site_type_symbol
_atom_site_fract_x
_atom_site_fract_y
_atom_site_fract_z
_atom_site_occupancy
Gd1 Gd 0.000 0.205 0.000 1
Dy1 Dy 0.000 0.000 0.616 1
Ga1 Ga 0.500 0.000 0.970 1
Ga2 Ga 0.500 0.117 0.324 1
Cu1 Cu 0.500 0.165 0.705 1
Ni1 Ni 0.000 0.000 0.207 1
```



7.
Compound: Dy2HoGa3CuGe2
Source: the Open Quantum Materials Database
Functional: PBE
Structure: relaxed

The value obtained for the total energy is -4.63 eV/atom. Its magnetization is 0.001 Bohr magnetons per cell.

Cell and atoms, written as CIF:
```
data_Dy2HoGa3CuGe2
_symmetry_space_group_name_H-M 'A m m 2'
_symmetry_Int_Tables_number 38
_symmetry_space_group_name_Hall 'A 2 -2'
_cell_length_a 4.147
_cell_length_b 12.165
_cell_length_c 7.030
_cell_angle_alpha 90.00
_cell_angle_beta 90.00
_cell_angle_gamma 90.00
loop_
_atom_site_label
_atom_site_type_symbol
_atom_site_fract_x
_atom_site_fract_y
_atom_site_fract_z
_atom_site_occupancy
Dy1 Dy 0.000 0.201 0.000 1
Ho1 Ho 0.000 0.000 0.602 1
Ga1 Ga 0.500 0.000 0.967 1
Ga2 Ga 0.500 0.117 0.318 1
Cu1 Cu 0.000 0.000 0.202 1
Ge1 Ge 0.500 0.166 0.701 1
```



8.
Compound: Tb2DyGa3CuGe2
Source: the Open Quantum Materials Database
Functional: PBE
Structure: relaxed

The value obtained for the total energy is -4.64 eV/atom. Its magnetization is 0.001 Bohr magnetons per cell.

Cell and atoms, written as CIF:
```
data_Tb2DyGa3CuGe2
_symmetry_space_group_name_H-M 'A m m 2'
_symmetry_Int_Tables_number 38
_symmetry_space_group_name_Hall 'A 2 -2'
_cell_length_a 4.177
_cell_length_b 12.211
_cell_length_c 7.055
_cell_angle_alpha 90.00
_cell_angle_beta 90.00
_cell_angle_gamma 90.00
loop_
_atom_site_label
_atom_site_type_symbol
_atom_site_fract_x
_atom_site_fract_y
_atom_site_fract_z
_atom_site_occupancy
Tb1 Tb 0.000 0.201 0.000 1
Dy1 Dy 0.000 0.000 0.603 1
Ga1 Ga 0.500 0.000 0.968 1
Ga2 Ga 0.500 0.117 0.318 1
Cu1 Cu 0.000 0.000 0.202 1
Ge1 Ge 0.500 0.166 0.701 1
```